Record 1
A plane-wave DFT calculation with PBE was carried out for crystalline Rb3TmPu3Se8 at its relaxed geometry.

Results
Final energy: -6.732 eV/atom
Size of the total moment: 14.00 μB/cell
E_form (uncorrected): -146 kJ per mole of atoms

Unit cell a=8.4522 b=8.4528 c=9.4495 alpha=116.57 beta=90.00 gamma=120.00
Last column: magnetic moment on the atom in μB.
Fractional coordinates of all 15 atoms:
Se1 0.2283 0.4567 0.6894  -0.10
Se2 0.2277 0.9607 0.6893  -0.10
Se3 0.7717 0.5433 0.3106  -0.10
Se4 0.2670 0.0393 0.3107  -0.10
Se5 0.7723 0.0393 0.3107  -0.10
Se6 0.2686 0.5373 0.3069  -0.12
Se7 0.7314 0.4627 0.6931  -0.12
Se8 0.7330 0.9607 0.6893  -0.10
Rb1 0.5000 0.5000 0.0000  0.00
Rb2 0.0000 0.5000 0.0000  0.00
Rb3 0.0000 0.0000 0.0000  0.00
Pu1 0.0000 0.5000 0.5000  4.94
Pu2 0.5000 0.5000 0.5000  4.94
Pu3 0.5000 0.0000 0.5000  4.94
Tm1 0.0000 0.0000 0.5000  0.01

***

Record 2
A plane-wave DFT calculation with PBE was carried out for crystalline Rb3Tm2PuSe6 at its relaxed geometry.

Results
Final energy: -5.538 eV/atom
Size of the total moment: 5.00 μB/cell
E_form (uncorrected): -156 kJ per mole of atoms

Unit cell a=7.3569 b=7.3569 c=8.3378 alpha=98.46 beta=98.46 gamma=120.00
Last column: magnetic moment on the atom in μB.
Fractional coordinates of all 12 atoms:
Rb1 0.8343 0.1657 0.5000  0.00
Rb2 0.5000 0.5000 0.5000  0.00
Rb3 0.1657 0.8343 0.5000  0.00
Tm1 0.3333 0.6667 0.0000  0.02
Tm2 0.6667 0.3333 0.0000  0.02
Pu1 0.0000 0.0000 0.0000  5.09
Se1 0.4052 0.0646 0.1937  -0.03
Se2 0.7239 0.7239 0.1936  -0.03
Se3 0.2761 0.2761 0.8064  -0.03
Se4 0.5948 0.9354 0.8063  -0.03
Se5 0.0646 0.4052 0.1937  -0.03
Se6 0.9354 0.5948 0.8063  -0.03

***

Record 3
A plane-wave DFT calculation with PBE was carried out for crystalline Rb3TmPu2Se6 at its relaxed geometry.

Results
Final energy: -6.273 eV/atom
Size of the total moment: 10.00 μB/cell
E_form (uncorrected): -147 kJ per mole of atoms

Unit cell a=7.4078 b=7.4078 c=8.3457 alpha=98.51 beta=98.51 gamma=120.00
Last column: magnetic moment on the atom in μB.
Fractional coordinates of all 12 atoms:
Se1 0.3925 0.0648 0.1945  0.07
Se2 0.0648 0.3925 0.1945  0.07
Se3 0.7372 0.7372 0.1945  0.07
Se4 0.2628 0.2628 0.8055  0.07
Se5 0.6075 0.9352 0.8055  0.07
Se6 0.9352 0.6075 0.8055  0.07
Pu1 0.3334 0.6666 0.0000  -5.12
Pu2 0.6666 0.3334 0.0000  -5.12
Rb1 0.8327 0.1673 0.5000  0.00
Rb2 0.1673 0.8327 0.5000  0.00
Rb3 0.5000 0.5000 0.5000  0.00
Tm1 0.0000 0.0000 0.0000  -0.02

***

Record 4
A plane-wave DFT calculation with PBE was carried out for crystalline Rb4PuU3Se12 at its relaxed geometry.

Results
Final energy: -5.870 eV/atom
Size of the total moment: 5.99 μB/cell
E_form (uncorrected): -113 kJ per mole of atoms

Unit cell a=9.4805 b=9.4805 c=9.4805 alpha=109.47 beta=109.47 gamma=109.47
Last column: magnetic moment on the atom in μB.
Fractional coordinates of all 20 atoms:
Rb1 0.0000 0.0000 0.5000  0.00
Rb2 0.0000 0.5000 0.0000  0.00
Rb3 0.5000 0.0000 0.0000  0.00
Rb4 0.5000 0.5000 0.5000  0.00
Pu1 0.0000 0.0000 0.0000  4.81
Se1 0.7439 0.0000 0.7439  -0.13
Se2 0.7500 0.5000 0.2500  -0.10
Se3 0.7439 0.7439 0.0000  -0.13
Se4 0.0000 0.2561 0.2561  -0.13
Se5 0.5000 0.2500 0.7500  -0.10
Se6 0.2561 0.2561 0.0000  -0.13
Se7 0.2500 0.7500 0.5000  -0.10
Se8 0.0000 0.7439 0.7439  -0.13
Se9 0.2561 0.0000 0.2561  -0.13
Se10 0.2500 0.5000 0.7500  -0.10
Se11 0.5000 0.7500 0.2500  -0.10
Se12 0.7500 0.2500 0.5000  -0.10
U1 0.5000 0.5000 0.0000  1.00
U2 0.5000 0.0000 0.5000  1.00
U3 0.0000 0.5000 0.5000  1.00

***

Record 5
A plane-wave DFT calculation with PBE was carried out for crystalline Rb2PuU2Se6 at its relaxed geometry.

Results
Final energy: -6.758 eV/atom
Size of the total moment: 10.00 μB/cell
E_form (uncorrected): -128 kJ per mole of atoms

Unit cell a=7.2978 b=7.2978 c=8.5275 alpha=98.04 beta=98.04 gamma=120.12
Last column: magnetic moment on the atom in μB.
Fractional coordinates of all 11 atoms:
Rb1 0.8349 0.1651 0.0000  0.00
Rb2 0.1651 0.8349 0.0000  0.00
Se1 0.5971 0.9381 0.3087  -0.07
Se2 0.2770 0.2770 0.3079  -0.08
Se3 0.4029 0.0619 0.6913  -0.07
Se4 0.0619 0.4029 0.6913  -0.07
Se5 0.7230 0.7230 0.6921  -0.08
Se6 0.9381 0.5971 0.3087  -0.07
Pu1 0.0000 0.0000 0.5000  5.25
U1 0.3340 0.6660 0.5000  2.36
U2 0.6660 0.3340 0.5000  2.36

***

Record 6
A plane-wave DFT calculation with PBE was carried out for crystalline Rb2PuUSe4 at its relaxed geometry.

Results
Final energy: -6.501 eV/atom
Size of the total moment: 2.90 μB/cell
E_form (uncorrected): -127 kJ per mole of atoms

Unit cell a=4.3082 b=7.5407 c=8.3506 alpha=107.36 beta=90.00 gamma=90.00
Last column: magnetic moment on the atom in μB.
Fractional coordinates of all 8 atoms:
Rb1 0.5000 0.0000 0.5000  0.00
Rb2 0.0000 0.5000 0.5000  0.00
U1 0.0000 0.0000 0.0000  -2.41
Se1 0.5000 0.7737 0.8034  0.02
Se2 0.5000 0.2263 0.1966  0.02
Se3 0.0000 0.7374 0.1959  -0.03
Se4 0.0000 0.2626 0.8041  -0.03
Pu1 0.5000 0.5000 0.0000  5.30

***

Record 7
A plane-wave DFT calculation with PBE was carried out for crystalline Rb4PuU3Se8 at its relaxed geometry.

Results
Final energy: -6.276 eV/atom
Size of the total moment: 14.00 μB/cell
E_form (uncorrected): -123 kJ per mole of atoms

Unit cell a=8.5398 b=9.4296 c=8.5367 alpha=116.90 beta=120.01 gamma=90.00
Last column: magnetic moment on the atom in μB.
Fractional coordinates of all 16 atoms:
Se1 0.2347 0.6973 0.4695  -0.07
Se2 0.2348 0.6973 0.9627  -0.07
Se3 0.7652 0.3027 0.0373  -0.07
Se4 0.7326 0.6977 0.4653  -0.06
Se5 0.2674 0.3023 0.5347  -0.06
Se6 0.2720 0.3027 0.0373  -0.07
Se7 0.7653 0.3027 0.5305  -0.07
Se8 0.7280 0.6973 0.9627  -0.07
U1 0.5000 0.5000 0.5000  2.65
U2 0.5000 0.5000 0.0000  2.65
U3 0.0000 0.5000 0.5000  2.65
Rb1 0.0000 0.0000 0.0000  0.00
Rb2 0.5000 0.0000 0.0000  0.00
Rb3 0.5000 0.0000 0.5000  0.00
Rb4 0.0000 0.0000 0.5000  0.00
Pu1 0.0000 0.5000 0.0000  5.37

***

Record 8
A plane-wave DFT calculation with PBE was carried out for crystalline Rb4Pu3USe8 at its relaxed geometry.

Results
Final energy: -6.783 eV/atom
Size of the total moment: 18.00 μB/cell
E_form (uncorrected): -136 kJ per mole of atoms

Unit cell a=8.6155 b=9.3945 c=8.6154 alpha=117.29 beta=120.00 gamma=90.00
Last column: magnetic moment on the atom in μB.
Fractional coordinates of all 16 atoms:
Se1 0.7716 0.3050 0.0334  -0.08
Se2 0.2284 0.6950 0.9666  -0.08
Se3 0.2681 0.3044 0.5363  -0.10
Se4 0.2284 0.6950 0.4567  -0.08
Se5 0.2617 0.3050 0.0334  -0.08
Se6 0.7716 0.3050 0.5433  -0.08
Se7 0.7319 0.6956 0.4637  -0.10
Se8 0.7383 0.6950 0.9666  -0.08
Rb1 0.0000 0.0000 0.5000  0.00
Rb2 0.0000 0.0000 0.0000  0.00
Rb3 0.5000 0.0000 0.0000  0.00
Rb4 0.5000 0.0000 0.5000  0.00
Pu1 0.5000 0.5000 0.0000  5.24
Pu2 0.5000 0.5000 0.5000  5.24
Pu3 0.0000 0.5000 0.5000  5.24
U1 0.0000 0.5000 0.0000  2.39

***

Record 9
A plane-wave DFT calculation with PBE was carried out for crystalline RbPuUSe4 at its relaxed geometry.

Results
Final energy: -7.030 eV/atom
Size of the total moment: 6.71 μB/cell
E_form (uncorrected): -120 kJ per mole of atoms

Unit cell a=8.7570 b=8.9061 c=9.0758 alpha=120.63 beta=90.00 gamma=119.45
Last column: magnetic moment on the atom in μB.
Fractional coordinates of all 14 atoms:
Se1 0.2649 0.5299 0.3131  0.03
Se2 0.7351 0.4701 0.6869  0.03
Se3 0.2649 0.5299 0.7168  0.03
Se4 0.3143 0.0539 0.2769  -0.03
Se5 0.6857 0.9461 0.7231  -0.03
Se6 0.7351 0.4701 0.2832  0.03
Se7 0.7396 0.0539 0.2769  -0.03
Se8 0.2604 0.9461 0.7231  -0.03
Rb1 0.1288 0.2576 0.8788  0.00
Rb2 0.8712 0.7424 0.1212  0.00
Pu1 0.5000 0.0000 0.0000  5.22
Pu2 0.5000 0.0000 0.5000  5.22
U1 0.5000 0.5000 0.5000  -1.90
U2 0.0000 0.5000 0.5000  -1.90

***

Record 10
A plane-wave DFT calculation with PBE was carried out for crystalline Rb2Pu2VSe6 at its relaxed geometry.

Results
Final energy: -6.726 eV/atom
Size of the total moment: 11.00 μB/cell
E_form (uncorrected): -117 kJ per mole of atoms

Unit cell a=6.9609 b=6.9609 c=8.5391 alpha=98.24 beta=98.24 gamma=119.42
Last column: magnetic moment on the atom in μB.
Fractional coordinates of all 11 atoms:
Pu1 0.3329 0.6671 0.5000  4.91
Pu2 0.6671 0.3329 0.5000  4.91
Se1 0.0665 0.3751 0.6862  -0.14
Se2 0.7557 0.7557 0.6845  -0.14
Se3 0.2443 0.2443 0.3155  -0.14
Se4 0.6249 0.9335 0.3138  -0.14
Se5 0.3751 0.0665 0.6862  -0.14
Se6 0.9335 0.6249 0.3138  -0.14
V1 0.0000 0.0000 0.5000  1.89
Rb1 0.8285 0.1715 0.0000  0.00
Rb2 0.1715 0.8285 0.0000  0.00